No. 1
Entry from OQMD: an optimized crystal structure of NbMoOs2 (GGA-PBE).

a b c (Å): 4.4557 4.4557 4.4557
angles (deg): 60.00 60.00 60.00
Closest atoms and distances in Å follow each position.
Sites, in units of the cell vectors:
Os 0.0000 0.0000 0.0000  4 Os 2.73, 4 Mo 2.73
Os 0.7500 0.7500 0.7500  4 Nb 2.73, 4 Os 2.73
Mo 0.2500 0.2500 0.2500  4 Nb 2.73, 4 Os 2.73
Nb 0.5000 0.5000 0.5000  4 Mo 2.73, 4 Os 2.73

Summary:
Magnetization (μB/f.u.): 0.083

=====

No. 2
Entry from OQMD: an optimized crystal structure of Nb2MoOs (GGA-PBE).

a b c (Å): 6.4147 4.5352 9.0661
angles (deg): 90.00 90.00 90.00
Closest atoms and distances in Å follow each position.
Sites, in units of the cell vectors:
Mo 0.7498 0.2500 0.6250  8 Nb 2.77-2.78
Nb 0.5003 0.7500 0.1250  4 Os 2.77-2.78, 4 Mo 2.78
Mo 0.2502 0.7500 0.3750  8 Nb 2.77-2.78
Nb 0.0003 0.7500 0.1250  4 Mo 2.77-2.78, 4 Os 2.78
Os 0.2498 0.2500 0.6250  8 Nb 2.77-2.78
Nb 0.5003 0.2500 0.3750  4 Mo 2.77-2.78, 4 Os 2.78
Nb 0.0003 0.2500 0.3750  4 Os 2.77-2.78, 4 Mo 2.78
Mo 0.2498 0.7500 0.8750  8 Nb 2.77-2.78
Nb 0.4997 0.2500 0.8750  4 Os 2.77-2.78, 4 Mo 2.78
Nb 0.4997 0.7500 0.6250  4 Mo 2.77-2.78, 4 Os 2.78
Mo 0.7502 0.2500 0.1250  8 Nb 2.77-2.78
Os 0.7502 0.7500 0.3750  8 Nb 2.77-2.78
Nb 0.9997 0.7500 0.6250  4 Os 2.77-2.78, 4 Mo 2.78
Nb 0.9997 0.2500 0.8750  4 Mo 2.77-2.78, 4 Os 2.78
Os 0.2502 0.2500 0.1250  8 Nb 2.77-2.78
Os 0.7498 0.7500 0.8750  8 Nb 2.77-2.78

Summary:
Magnetization (μB/f.u.): 0.005

=====

No. 3
Entry from OQMD: an optimized crystal structure of NbMoOs (GGA-PBE).

a b c (Å): 4.3182 4.3182 4.3182
angles (deg): 60.00 60.00 60.00
Closest atoms and distances in Å follow each position.
Sites, in units of the cell vectors:
Mo 0.2500 0.2500 0.2500  4 Os 2.64
Nb 0.7500 0.7500 0.7500  4 Os 2.64
Os 0.0000 0.0000 0.0000  4 Nb 2.64, 4 Mo 2.64

Summary:
Magnetization (μB/f.u.): 0.003
Relative energy among the computed polymorphs (meV/atom): 0

=====

Respective calculated formation energy values: 0.21 -0.25 0.44 eV per atom.